(1)
Pm4Nd5Cd2: optimized geometry, PBE.

Computed properties:
* space-group type: No. 10
* energy relative to the elements: -0.01 eV/atom
* magnetization: 0.000 μB/f.u.

a b c (Å): 3.565 8.823 11.407
angles (deg): 94.46 90.00 90.00
Fractional positions:
Nd1 0.000 0.558 0.302
Nd2 0.000 0.801 0.836
Nd3 0.000 0.500 0.000
Nd4 0.000 0.442 0.698
Nd5 0.000 0.199 0.164
Pm1 0.500 0.848 0.125
Pm2 0.500 0.152 0.875
Pm3 0.500 0.742 0.549
Pm4 0.500 0.258 0.451
Cd1 0.000 0.058 0.633
Cd2 0.000 0.942 0.367

***

(2)
Ac2TlReO8: optimized geometry, PBE.

Computed properties:
* space-group type: No. 2
* total energy: -7.37 eV per atom
* magnetization: 0.000 μB/f.u.

a b c (Å): 4.844 5.193 7.773
angles (deg): 87.86 86.55 94.88
Fractional positions:
O1 0.307 0.228 0.046
O2 0.131 0.730 0.137
O3 0.718 0.692 0.521
O4 0.693 0.772 0.954
O5 0.282 0.308 0.479
O6 0.198 0.906 0.790
O7 0.802 0.094 0.210
O8 0.869 0.270 0.863
Re1 0.000 0.000 0.000
Ac1 0.406 0.481 0.768
Ac2 0.594 0.519 0.232
Tl1 0.000 0.000 0.500

***

(3)
MgIn12Ga7: optimized geometry, PBE.

Computed properties:
* space-group type: No. 148
* energy relative to the elements: 0.03 eV/atom
* ΔE to the lowest computed polymorph: 0.12 eV per formula unit
* magnetization: 0.000 μB/f.u.

a b c (Å): 8.288 8.288 8.288
angles (deg): 105.61 105.61 105.61
Fractional positions:
Ga1 0.126 0.384 0.247
Ga2 0.384 0.247 0.126
Ga3 0.500 0.500 0.500
Ga4 0.874 0.616 0.753
Ga5 0.616 0.753 0.874
Ga6 0.753 0.874 0.616
Ga7 0.247 0.126 0.384
In1 0.927 0.302 0.845
In2 0.549 0.369 0.837
In3 0.451 0.631 0.163
In4 0.163 0.451 0.631
In5 0.698 0.155 0.073
In6 0.302 0.845 0.927
In7 0.073 0.698 0.155
In8 0.845 0.927 0.302
In9 0.155 0.073 0.698
In10 0.631 0.163 0.451
In11 0.837 0.549 0.369
In12 0.369 0.837 0.549
Mg1 0.000 0.000 0.000

***

(4)
Ho3CSO: optimized geometry, PBE.

Computed properties:
* space-group type: No. 11
* total energy: -7.02 eV per atom
* magnetization: 0.000 μB/f.u.

a b c (Å): 3.654 7.646 8.525
angles (deg): 100.09 90.00 90.00
Fractional positions:
Ho1 0.250 0.803 0.487
Ho2 0.250 0.630 0.837
Ho3 0.750 0.197 0.513
Ho4 0.750 0.370 0.163
Ho5 0.250 0.078 0.860
Ho6 0.750 0.922 0.140
C1 0.250 0.154 0.162
C2 0.750 0.846 0.838
O1 0.750 0.908 0.404
O2 0.250 0.092 0.596
S1 0.250 0.647 0.161
S2 0.750 0.353 0.839

***

(5)
NbTlAg: optimized geometry, PBE.

Computed properties:
* space-group type: No. 2
* energy relative to the elements: 0.33 eV/atom
* ΔE to the lowest computed polymorph: 0.35 eV per formula unit
* magnetization: 0.000 μB/f.u.

a b c (Å): 3.038 5.637 7.714
angles (deg): 75.75 79.99 74.49
Fractional positions:
Nb1 0.281 0.274 0.524
Nb2 0.719 0.726 0.476
Tl1 0.089 0.137 0.191
Tl2 0.911 0.863 0.809
Ag1 0.607 0.380 0.842
Ag2 0.393 0.620 0.158

***

(6)
Ho5Er8Pu: optimized geometry, PBE.

Computed properties:
* space-group type: No. 82
* energy relative to the elements: 0.30 eV/atom
* magnetization: 5.437 μB/f.u.

a b c (Å): 8.304 8.304 8.304
angles (deg): 107.38 113.73 107.38
Fractional positions:
Er1 0.526 0.628 0.220
Er2 0.102 0.695 0.474
Er3 0.780 0.305 0.408
Er4 0.034 0.093 0.640
Er5 0.592 0.372 0.898
Er6 0.360 0.394 0.453
Er7 0.060 0.606 0.966
Er8 0.547 0.907 0.940
Ho1 0.500 0.000 0.500
Ho2 0.289 0.084 0.049
Ho3 0.795 0.760 0.711
Ho4 0.951 0.240 0.035
Ho5 0.965 0.916 0.205
Pu1 0.250 0.500 0.750

***

(7)
Pr4HgRhAu2: optimized geometry, PBE.

Computed properties:
* space-group type: No. 166
* energy relative to the elements: -0.65 eV/atom
* magnetization: 0.000 μB/f.u.

a b c (Å): 5.306 5.306 9.045
angles (deg): 72.94 72.94 60.00
Fractional positions:
Pr1 0.616 0.616 0.151
Pr2 0.132 0.132 0.604
Pr3 0.384 0.384 0.849
Pr4 0.868 0.868 0.396
Hg1 0.000 0.000 0.000
Rh1 0.500 0.500 0.500
Au1 0.259 0.259 0.222
Au2 0.741 0.741 0.778

***

(8)
LaNd2Ho3Se6: optimized geometry, PBE.

Computed properties:
* space-group type: No. 12
* total energy: -5.91 eV per atom
* magnetization: 0.000 μB/f.u.

a b c (Å): 4.103 8.436 9.352
angles (deg): 104.80 102.67 90.00
Fractional positions:
Se1 0.328 0.925 0.657
Se2 0.997 0.263 0.994
Se3 0.672 0.075 0.343
Se4 0.337 0.407 0.675
Se5 0.663 0.593 0.325
Se6 0.003 0.737 0.006
Ho1 0.500 0.500 0.000
Ho2 0.166 0.833 0.333
Ho3 0.834 0.167 0.667
Nd1 0.832 0.665 0.664
Nd2 0.168 0.335 0.336
La1 0.500 0.000 0.000

***

(9)
IrRuSe2: optimized geometry, PBE.

Computed properties:
* space-group type: No. 44
* ΔE to the lowest computed polymorph: 1.43 eV per formula unit
* magnetization: 0.000 μB/f.u.

a b c (Å): 5.524 5.524 5.524
angles (deg): 148.85 131.32 58.93
Fractional positions:
Ru1 0.760 0.260 0.500
Se1 0.267 0.767 0.500
Se2 0.978 0.978 0.000
Ir1 0.494 0.494 0.000

***

(10)
CaGa12Ni4: optimized geometry, PBE.

Computed properties:
* space-group type: No. 204
* energy relative to the elements: -0.15 eV/atom
* magnetization: 0.000 μB/f.u.

a b c (Å): 7.653 7.653 7.653
angles (deg): 109.47 109.47 109.47
Fractional positions:
Ga1 0.218 0.325 0.543
Ga2 0.107 0.782 0.325
Ga3 0.782 0.325 0.107
Ga4 0.325 0.543 0.218
Ga5 0.675 0.457 0.782
Ga6 0.782 0.675 0.457
Ga7 0.457 0.782 0.675
Ga8 0.325 0.107 0.782
Ga9 0.543 0.218 0.325
Ga10 0.893 0.218 0.675
Ga11 0.675 0.893 0.218
Ga12 0.218 0.675 0.893
Ni1 0.500 0.000 0.000
Ni2 0.000 0.500 0.000
Ni3 0.500 0.500 0.500
Ni4 0.000 0.000 0.500
Ca1 0.000 0.000 0.000

***

(11)
U2BiC: optimized geometry, PBE.

Computed properties:
* space-group type: No. 166
* energy relative to the elements: -0.05 eV/atom
* magnetization: 2.550 μB/f.u.

a b c (Å): 3.271 3.271 9.035
angles (deg): 79.57 79.57 60.00
Fractional positions:
U1 0.222 0.222 0.333
U2 0.778 0.778 0.667
C1 0.500 0.500 0.500
Bi1 0.000 0.000 0.000